No. 1
Entry from the Alexandria database: crystalline ThBi2Pd at its relaxed geometry (PBE).

Formation enthalpy at 0 K in kcal/mol of atoms: -10.09

Cell and atoms, written as extended XYZ:
```
4
Lattice="4.485 0.000 0.000 0.000 4.845 0.000 0.000 0.000 4.845" Properties=species:S:1:pos:R:3 pbc="T T T"
Pd 2.243 2.423 2.423
Bi 0.000 0.000 2.423
Bi 0.000 2.423 0.000
Th 2.243 0.000 0.000
```

---

No. 2
Entry from the Alexandria database: crystalline Nd8HRh3Br4 at its relaxed geometry (PBE).

E in eV per atom: -5.349

Cell and atoms, written as extended XYZ:
```
16
Lattice="-7.591 0.016 -2.922 2.687 -5.166 -7.008 1.486 -2.924 7.445" Properties=species:S:1:pos:R:3 pbc="T T T"
Br -3.053 -1.454 2.261
Br 0.000 0.000 0.000
Br -3.796 0.008 -1.461
Br 0.743 -1.462 3.723
Rh -2.452 -2.575 -4.965
Rh -1.709 -4.037 -1.243
Rh 2.086 -4.045 0.218
Nd -4.978 -1.666 -4.133
Nd -2.285 -6.400 0.167
Nd 1.559 -6.409 1.647
Nd -1.133 -1.674 -2.653
Nd -0.423 -3.123 1.082
Nd 0.805 -4.936 -2.118
Nd -2.995 -4.952 -3.567
Nd -4.223 -3.139 -0.368
H 1.343 -2.583 -3.504
```

---

No. 3
Entry from the Alexandria database: crystalline AcMg4Cu at its relaxed geometry (PBE).

Formation enthalpy at 0 K in kcal/mol of atoms: -2.73

Cell and atoms, written as extended XYZ:
```
12
Lattice="-1.935 2.488 3.066 -6.023 -4.859 0.142 3.905 -4.657 6.243" Properties=species:S:1:pos:R:3 pbc="T T T"
Ac -1.453 -3.124 1.618
Ac -0.665 -6.392 4.766
Mg 0.000 0.000 0.000
Mg -3.790 -6.889 6.350
Mg 1.952 -2.329 3.121
Mg -4.981 -2.500 2.038
Mg -3.535 -4.226 4.351
Mg -0.263 -0.140 3.100
Mg -0.518 -2.803 5.100
Mg 0.928 -4.529 7.413
Cu -3.888 -5.089 1.675
Cu 1.770 -4.427 4.709
```

---

No. 4
Entry from the Alexandria database: crystalline Tb5Ho4Zn at its relaxed geometry (PBE).

Formation enthalpy at 0 K in kcal/mol of atoms: -1.22

Cell and atoms, written as extended XYZ:
```
10
Lattice="-3.525 0.048 0.409 0.037 -3.474 0.723 2.733 4.819 23.004" Properties=species:S:1:pos:R:3 pbc="T T T"
Ho 0.501 0.883 4.217
Ho 1.655 2.918 13.929
Ho 2.232 3.936 18.787
Ho 1.078 1.901 9.074
Tb 0.782 2.741 21.828
Tb -0.956 -0.324 7.196
Tb -0.377 0.697 12.068
Tb 0.202 1.717 16.940
Tb -1.537 -1.348 2.308
Zn 0.000 0.000 0.000
```

---

No. 5
Entry from the Alexandria database: crystalline Hg4SbPb7 at its relaxed geometry (PBE).

E_form (uncorrected) in eV/atom: 0.088

Cell and atoms, written as extended XYZ:
```
12
Lattice="4.595 0.000 0.000 -2.297 3.979 0.000 0.000 0.000 20.633" Properties=species:S:1:pos:R:3 pbc="T T T"
Sb 0.000 0.000 10.316
Pb 2.297 1.326 12.053
Pb 0.000 2.653 3.270
Pb 2.297 1.326 17.362
Pb 0.000 0.000 5.160
Pb 0.000 0.000 15.473
Pb 0.000 2.653 8.579
Pb 0.000 0.000 0.000
Hg 2.297 1.326 1.659
Hg 0.000 2.653 13.881
Hg 0.000 2.653 18.974
Hg 2.297 1.326 6.752
```

---

No. 6
Entry from the Alexandria database: crystalline Ca3Np3IrN8 at its relaxed geometry (PBE).

E_form (uncorrected) in eV/atom: -0.856

Cell and atoms, written as extended XYZ:
```
15
Lattice="6.679 0.000 0.000 -3.339 5.784 -0.020 0.000 -3.837 5.689" Properties=species:S:1:pos:R:3 pbc="T T T"
N 1.650 -0.970 1.700
N 3.339 0.014 4.120
N 5.029 -0.970 1.701
N 1.690 2.917 3.969
N 0.000 -0.010 3.979
N 3.339 1.957 1.691
N -1.690 2.917 3.969
N 0.000 1.933 1.549
Np -1.670 0.973 2.835
Np 3.339 -1.918 2.845
Np 1.670 0.973 2.835
Ca 1.670 2.892 -0.010
Ca -1.670 2.892 -0.010
Ca 0.000 0.000 0.000
Ir 0.000 -1.918 2.844
```